Record 1
PmPr2Te4 | GGA-PBE | optimized geometry

## Properties
formation energy (no corrections): -1.408 eV/atom
E above lowest polymorph: 8 meV per atom

a b c (Å): 4.366 7.766 15.380
angles (deg): 90.00 90.00 106.32
Positions (direct):
Te 0.500 0.000 0.500
Te 0.028 0.055 0.250
Te 0.220 0.439 0.625
Te 0.780 0.561 0.125
Te 0.500 0.000 0.000
Te 0.972 0.945 0.750
Te 0.220 0.439 0.875
Te 0.780 0.561 0.375
Pm 0.373 0.746 0.250
Pm 0.627 0.254 0.750
Pr 0.868 0.736 0.930
Pr 0.868 0.736 0.570
Pr 0.132 0.264 0.430
Pr 0.132 0.264 0.070

Record 2
InOsPb2N | GGA-PBE | optimized geometry

## Properties
formation energy (no corrections): 1.167 eV/atom

a b c (Å): 4.990 4.244 4.990
angles (deg): 90.00 90.00 90.00
Positions (direct):
In 0.000 0.500 0.000
Pb 0.500 0.000 0.000
Pb 0.000 0.000 0.500
Os 0.500 0.500 0.500
N 0.000 0.000 0.000

Record 3
KBa2Tl2 | GGA-PBE | optimized geometry

## Properties
ΔE_f: -21.6 kJ per mole of atoms
E above lowest polymorph: 33 meV per atom

a b c (Å): 10.286 10.286 4.070
angles (deg): 90.00 90.00 90.00
Positions (direct):
Tl 0.650 0.850 0.500
Tl 0.350 0.150 0.500
Tl 0.850 0.350 0.500
Tl 0.150 0.650 0.500
Ba 0.144 0.356 0.000
Ba 0.356 0.856 0.000
Ba 0.856 0.644 0.000
Ba 0.644 0.144 0.000
K 0.500 0.500 0.000
K 0.000 0.000 0.000

Record 4
RbTl2Sn6 | GGA-PBE | optimized geometry

## Properties
ΔE_f: -1.4 kJ per mole of atoms
E above lowest polymorph: 0 meV per atom

a b c (Å): 4.935 4.935 11.943
angles (deg): 90.00 90.00 90.00
Positions (direct):
Sn 0.500 0.000 0.313
Sn 0.500 0.000 0.687
Sn 0.000 0.500 0.687
Sn 0.000 0.000 0.500
Sn 0.500 0.500 0.500
Sn 0.000 0.500 0.313
Tl 0.500 0.500 0.140
Tl 0.500 0.500 0.860
Rb 0.000 0.000 0.000

Record 5
Ca2Ag3OsO6 | GGA-PBE | optimized geometry

## Properties
formation energy (no corrections): -1.374 eV/atom

a b c (Å): 5.853 5.853 6.638
angles (deg): 81.43 81.43 120.32
Positions (direct):
O 0.346 0.346 0.831
O 0.941 0.230 0.169
O 0.654 0.654 0.169
O 0.059 0.770 0.831
O 0.770 0.059 0.831
O 0.230 0.941 0.169
Ag 0.854 0.146 0.500
Ag 0.500 0.500 0.500
Ag 0.146 0.854 0.500
Ca 0.667 0.333 0.000
Ca 0.333 0.667 0.000
Os 0.000 0.000 0.000

Record 6
YTh3Pb12 | GGA-PBE | optimized geometry

## Properties
ΔE_f: -24.0 kJ per mole of atoms

a b c (Å): 4.954 4.954 19.187
angles (deg): 90.00 90.00 90.00
Positions (direct):
Pb 0.500 0.000 0.123
Pb 0.500 0.500 0.752
Pb 0.500 0.500 0.248
Pb 0.000 0.500 0.626
Pb 0.500 0.000 0.374
Pb 0.500 0.000 0.877
Pb 0.500 0.500 0.500
Pb 0.000 0.500 0.123
Pb 0.500 0.500 0.000
Pb 0.000 0.500 0.374
Pb 0.500 0.000 0.626
Pb 0.000 0.500 0.877
Th 0.000 0.000 0.749
Th 0.000 0.000 0.500
Th 0.000 0.000 0.251
Y 0.000 0.000 0.000

Record 7
CaInW3 | GGA-PBE | optimized geometry

## Properties
ΔE_f: 240.8 kJ per mole of atoms
E above lowest polymorph: 0 meV per atom

a b c (Å): 4.987 4.987 4.987
angles (deg): 90.00 90.00 90.00
Positions (direct):
W 0.500 0.000 0.000
W 0.000 0.500 0.000
W 0.000 0.000 0.500
In 0.000 0.000 0.000
Ca 0.500 0.500 0.500

Record 8
SiWAu | GGA-PBE | optimized geometry

## Properties
formation energy (no corrections): 0.382 eV/atom
E above lowest polymorph: 117 meV per atom

a b c (Å): 6.817 6.624 2.826
angles (deg): 81.72 74.06 24.22
Positions (direct):
W 0.679 0.679 0.321
Si 0.326 0.326 0.674
Au 0.995 0.995 0.005

Record 9
Al2AgCl | GGA-PBE | optimized geometry

## Properties
formation energy (no corrections): 0.151 eV/atom
E above lowest polymorph: 381 meV per atom

a b c (Å): 6.260 6.260 6.260
angles (deg): 143.68 143.68 52.31
Positions (direct):
Cl 0.500 0.500 0.000
Al 0.000 0.000 0.000
Al 0.250 0.750 0.500
Ag 0.750 0.250 0.500

Record 10
Cs4HCl2F | GGA-PBE | optimized geometry

a b c (Å): 4.695 8.218 8.137
angles (deg): 70.80 90.00 90.00
Positions (direct):
Cl 0.000 0.000 0.000
Cl 0.500 0.000 0.500
H 0.000 0.500 0.500
Cs 0.500 0.722 0.253
Cs 0.000 0.719 0.766
Cs 0.500 0.278 0.747
Cs 0.000 0.281 0.234
F 0.500 0.500 0.000

Record 11
Bi2BN2 | GGA-PBE | optimized geometry

## Properties
formation energy (no corrections): 1.523 eV/atom
E above lowest polymorph: 0 meV per atom

a b c (Å): 3.952 3.952 6.783
angles (deg): 73.06 73.06 90.00
Positions (direct):
Bi 0.654 0.654 0.692
Bi 0.346 0.346 0.308
N 0.250 0.750 0.500
N 0.750 0.250 0.500
B 0.000 0.000 0.000

Record 12
NbSiPt2 | GGA-PBE | optimized geometry

## Properties
formation energy (no corrections): -0.261 eV/atom

a b c (Å): 3.861 3.861 9.471
angles (deg): 78.24 78.24 90.00
Positions (direct):
Nb 0.750 0.250 0.500
Nb 0.000 0.000 0.000
Si 0.500 0.500 0.000
Si 0.250 0.750 0.500
Pt 0.375 0.385 0.750
Pt 0.135 0.625 0.250
Pt 0.875 0.865 0.750
Pt 0.615 0.125 0.250

Computed electronic total energy, in the same sequence as the records: -5.248 -4.775 -2.159 -3.317 -5.836 -4.825 -6.225 -6.836 -2.895 -3.212 -4.695 -7.155 eV/atom.